## V2TcF (GGA+U)

Data for a relaxed structure of V2TcF.

extended XYZ file:
```
8
Lattice="-3.1124 3.1124 3.1417 3.1124 -3.1124 3.1417 3.1124 3.1124 -3.1417" Properties=species:S:1:pos:R:3 pbc="T T T"
V 1.5562 1.1762 -0.7854
V 1.9361 -1.5562 3.9271
V 1.5562 1.9361 2.3562
V 1.1762 4.6686 0.7854
Tc 3.1124 0.0000 1.5708
Tc 0.0000 0.0000 3.1417
F 0.0000 0.0000 0.0000
F 0.0000 3.1124 1.5708
```

## Properties
- Space-group type: I-42d (122)
- Offset from the most stable computed form: 0.00 eV/f.u.
- E_tot: -0.239 Ha/atom